No. 1
# AuCI3 (PBE, optimized geometry)
data_AuCI3
_chemical_formula_sum 'Au1 C1 I3'
_space_group_name_H-M_alt 'P 1'
_space_group_IT_number 1
_cell_length_a 5.6459
_cell_length_b 5.6459
_cell_length_c 5.6459
_cell_angle_alpha 90.00
_cell_angle_beta 90.00
_cell_angle_gamma 90.00
loop_
_space_group_symop_operation_xyz
'x,y,z'
loop_
_atom_site_label
_atom_site_type_symbol
_atom_site_fract_x
_atom_site_fract_y
_atom_site_fract_z
_atom_site_occupancy
I1 I 0.0000 0.5000 0.0000 1
I2 I 0.0000 0.0000 0.5000 1
I3 I 0.5000 0.0000 0.0000 1
C1 C 0.5000 0.5000 0.5000 1
Au1 Au 0.0000 0.0000 0.0000 1
# E above lowest polymorph in meV/atom: 286.6
# Size of the total moment in μB per cell: 1.4
# Final energy in eV per atom: -1.830
# Density in g cm⁻³: 5.4

***

No. 2
# AuCI2 (PBE, optimized geometry)
data_AuCI2
_chemical_formula_sum 'Au2 C2 I4'
_space_group_name_H-M_alt 'P 1'
_space_group_IT_number 1
_cell_length_a 5.8118
_cell_length_b 5.8118
_cell_length_c 7.8856
_cell_angle_alpha 68.38
_cell_angle_beta 68.38
_cell_angle_gamma 90.00
loop_
_space_group_symop_operation_xyz
'x,y,z'
loop_
_atom_site_label
_atom_site_type_symbol
_atom_site_fract_x
_atom_site_fract_y
_atom_site_fract_z
_atom_site_occupancy
I1 I 0.5616 0.1250 0.2500 1
I2 I 0.1884 0.6250 0.2500 1
I3 I 0.3750 0.4384 0.7500 1
I4 I 0.8750 0.8116 0.7500 1
C1 C 0.5000 0.5000 0.0000 1
C2 C 0.2500 0.7500 0.5000 1
Au1 Au 0.0000 0.0000 0.0000 1
Au2 Au 0.7500 0.2500 0.5000 1
# E above lowest polymorph in meV/atom: 0.0
# Size of the total moment in μB per cell: 0.0
# Final energy in eV per atom: -2.514
# Density in g cm⁻³: 6.8

***

No. 3
# AuC2I (PBE, optimized geometry)
data_AuC2I
_chemical_formula_sum 'Au1 C2 I1'
_space_group_name_H-M_alt 'P 1'
_space_group_IT_number 1
_cell_length_a 4.3779
_cell_length_b 4.3779
_cell_length_c 4.3779
_cell_angle_alpha 60.00
_cell_angle_beta 60.00
_cell_angle_gamma 60.00
loop_
_space_group_symop_operation_xyz
'x,y,z'
loop_
_atom_site_label
_atom_site_type_symbol
_atom_site_fract_x
_atom_site_fract_y
_atom_site_fract_z
_atom_site_occupancy
I1 I 0.0000 0.0000 0.0000 1
C1 C 0.2500 0.2500 0.2500 1
C2 C 0.7500 0.7500 0.7500 1
Au1 Au 0.5000 0.5000 0.5000 1
# E above lowest polymorph in meV/atom: 724.3
# Size of the total moment in μB per cell: 0.0
# Final energy in eV per atom: -2.896
# Density in g cm⁻³: 9.7

***

No. 4
# La6Au2CI3 (PBE, optimized geometry)
data_La6Au2CI3
_chemical_formula_sum 'La6 Au2 C1 I3'
_space_group_name_H-M_alt 'P 1'
_space_group_IT_number 1
_cell_length_a 7.3420
_cell_length_b 7.3420
_cell_length_c 8.4135
_cell_angle_alpha 98.20
_cell_angle_beta 98.20
_cell_angle_gamma 119.59
loop_
_space_group_symop_operation_xyz
'x,y,z'
loop_
_atom_site_label
_atom_site_type_symbol
_atom_site_fract_x
_atom_site_fract_y
_atom_site_fract_z
_atom_site_occupancy
La1 La 0.9355 0.6467 0.8058 1
La2 La 0.7795 0.7795 0.2015 1
La3 La 0.0645 0.3533 0.1942 1
La4 La 0.6467 0.9355 0.8058 1
La5 La 0.2205 0.2205 0.7985 1
La6 La 0.3533 0.0645 0.1942 1
Au1 Au 0.3357 0.6643 0.0000 1
Au2 Au 0.6643 0.3357 0.0000 1
C1 C 0.0000 0.0000 0.0000 1
I1 I 0.1757 0.8243 0.5000 1
I2 I 0.8243 0.1757 0.5000 1
I3 I 0.5000 0.5000 0.5000 1
# Size of the total moment in μB per cell: 0.0
# Final energy in eV per atom: -4.994
# Density in g cm⁻³: 7.1

***

For reference, energy relative to the elements, uncorrected by record: 1.600; 1.386; 2.923; -0.828 eV/atom.